The following is a PBE-GGA calculation of a geometry-optimized DyHfCuAg structure, from the Alexandria database.

The structure belongs to space group F-43m (No. 216); the cell edges are 6.888, 6.888 and 6.888 Å and the angles 90.00°, 90.00° and 90.00°. The asymmetric unit holds Dy at (0.000, 0.000, 0.000), Hf at (0.000, 0.000, 0.500), Cu at (0.250, 0.250, 0.250) and Ag at (0.250, 0.250, 0.750).

The value obtained for the formation energy is -0.03 eV per atom. As for the crystal system: cubic. The calculation puts the total energy at -86.55 eV/cell.